# Ta5Al7

A relaxed structure of Ta5Al7 (PBE, OQMD via LeMat-Bulk).

Distance to the lowest polymorph of the same formula in meV per atom: 70
SG: P6_3/mmc

```
Ta5Al7
1.0
5.2985 0.0000 0.0000
-2.6493 4.5887 0.0000
0.0000 0.0000 17.0396
Al Ta
14 10
Cartesian
2.6493 0.0000 0.0000
-1.3246 2.2943 0.0000
1.3246 2.2943 0.0000
0.0000 3.0591 2.0676
2.6493 1.5296 2.7213
2.6493 1.5296 5.7985
0.0000 3.0591 6.4522
2.6493 0.0000 8.5198
-1.3246 2.2943 8.5198
1.3246 2.2943 8.5198
2.6493 1.5296 10.5874
0.0000 3.0591 11.2411
0.0000 3.0591 14.3183
2.6493 1.5296 14.9720
0.0000 0.0000 1.4827
0.0000 1.4849 4.2599
-1.3633 3.8462 4.2599
1.3633 3.8462 4.2599
0.0000 0.0000 7.0372
0.0000 0.0000 10.0025
1.2860 0.7425 12.7797
4.0125 0.7425 12.7797
2.6493 3.1037 12.7797
0.0000 0.0000 15.5570
```

# Ta2Al

A relaxed structure of Ta2Al (PBE, OQMD via LeMat-Bulk).

SG: Fd-3m

```
Ta2Al
1.0
0.0000 3.8572 3.8572
3.8572 0.0000 3.8572
3.8572 3.8572 0.0000
Al Ta
2 4
Cartesian
0.0000 0.0000 0.0000
1.9286 1.9286 1.9286
2.8929 2.8929 4.8214
2.8929 4.8214 2.8929
4.8214 2.8929 2.8929
4.8214 4.8214 4.8214
```

# Ta3Al10

A relaxed structure of Ta3Al10 (PBE, OQMD via LeMat-Bulk).

Distance to the lowest polymorph of the same formula in meV per atom: 0
SG: R-3m

```
Ta3Al10
1.0
-0.8573 -8.9546 3.7955
2.8807 -9.3264 0.2118
3.9780 -7.4355 4.9208
Al Ta
10 3
Cartesian
0.0858 -6.7362 2.6850
1.9709 -6.9238 0.8777
2.0893 -8.9532 3.1083
3.4770 -19.7464 5.6757
2.7305 -11.7005 4.0621
3.2708 -14.0161 4.8660
2.5243 -5.9702 3.2525
3.9120 -16.7634 5.8198
4.0304 -18.7928 8.0505
5.9155 -18.9803 6.2432
0.0000 0.0000 0.0000
1.0328 -4.4258 1.5365
4.9685 -21.2908 7.3916
```

# TaAlTc

A relaxed structure of TaAlTc (PBE, OQMD via LeMat-Bulk).

Distance to the lowest polymorph of the same formula in meV per atom: 0
SG: F-43m

```
TaAlTc
1.0
3.0316 -2.1088 2.1947
-1.0847 -3.2868 2.5445
1.0545 -4.0140 -1.1091
Al Ta Tc
1 1 1
Cartesian
1.5007 -4.7048 1.8150
0.0000 0.0000 0.0000
0.7503 -2.3524 0.9075
```

# TaAlTc

A relaxed structure of TaAlTc (PBE, OQMD via LeMat-Bulk).

Distance to the lowest polymorph of the same formula in meV per atom: 392
SG: F-43m

```
TaAlTc
1.0
-0.1997 -3.1189 3.0130
-1.5912 0.8873 3.9404
-3.8466 -1.6142 1.2015
Al Ta Tc
1 1 1
Cartesian
-1.4094 -0.9615 2.0387
0.0000 0.0000 0.0000
-4.2282 -2.8844 6.1163
```

# TaAlTc2

A relaxed structure of TaAlTc2 (PBE, OQMD via LeMat-Bulk).

SG: F-43m

```
TaAlTc2
1.0
1.4519 -4.1492 -0.6197
-2.4702 -2.8985 -2.2814
1.2894 -1.3207 -4.0375
Al Ta Tc
1 1 2
Cartesian
0.1356 -4.1842 -3.4693
0.0678 -2.0921 -1.7346
0.0000 0.0000 0.0000
0.2034 -6.2763 -5.2039
```

# Ta2AlTc

A relaxed structure of Ta2AlTc (PBE, OQMD via LeMat-Bulk).

SG: F-43m

```
Ta2AlTc
1.0
-2.4577 -0.8644 3.7026
-2.1550 3.3679 2.1236
-4.5167 0.2598 -0.1696
Al Ta Tc
1 2 1
Cartesian
-4.5647 1.3816 2.8283
0.0000 0.0000 0.0000
-6.8470 2.0724 4.2425
-2.2823 0.6908 1.4142
```

# TaAlW2

A relaxed structure of TaAlW2 (PBE, OQMD via LeMat-Bulk).

SG: F-43m

```
TaAlW2
1.0
0.0000 3.1986 3.1986
3.1986 0.0000 3.1986
3.1986 3.1986 0.0000
Al Ta W
1 1 2
Cartesian
3.1986 3.1986 3.1986
1.5993 1.5993 1.5993
0.0000 0.0000 0.0000
4.7979 4.7979 4.7979
```

# TaAlW

A relaxed structure of TaAlW (PBE, OQMD via LeMat-Bulk).

Distance to the lowest polymorph of the same formula in meV per atom: 0
SG: F-43m

```
TaAlW
1.0
0.0000 3.1051 3.1051
3.1051 0.0000 3.1051
3.1051 3.1051 0.0000
Al Ta W
1 1 1
Cartesian
1.5525 1.5525 1.5525
4.6576 4.6576 4.6576
0.0000 0.0000 0.0000
```

# YTa2Al

A relaxed structure of YTa2Al (PBE, OQMD via LeMat-Bulk).

SG: F-43m

```
YTa2Al
1.0
-1.1650 -4.4174 -1.5811
-3.3904 -0.5325 -3.4047
1.2505 -1.3781 -4.4618
Al Ta Y
1 2 1
Cartesian
-1.6525 -3.1640 -4.7238
0.0000 0.0000 0.0000
-2.4787 -4.7461 -7.0856
-0.8262 -1.5820 -2.3619
```

# YTaAl2

A relaxed structure of YTaAl2 (PBE, OQMD via LeMat-Bulk).

SG: F-43m

```
YTaAl2
1.0
0.0000 3.3881 3.3881
3.3881 0.0000 3.3881
3.3881 3.3881 0.0000
Al Ta Y
2 1 1
Cartesian
0.0000 0.0000 0.0000
5.0822 5.0822 5.0822
3.3881 3.3881 3.3881
1.6941 1.6941 1.6941
```

# Ta2AlZn

A relaxed structure of Ta2AlZn (PBE, OQMD via LeMat-Bulk).

SG: F-43m

```
Ta2AlZn
1.0
1.6130 0.3267 4.2540
2.5189 3.6038 1.2135
-1.7096 3.1204 2.8539
Al Ta Zn
1 2 1
Cartesian
1.2111 3.5255 4.1607
0.0000 0.0000 0.0000
1.8167 5.2882 6.2411
0.6056 1.7627 2.0804
```

Calculated total energy
In order: -84.43, -26.28, -74.04, -25.46, -24.28, -36.47, -38.24, -41.19, -26.36, -33.30, -24.68, -27.80
Unit: eV/f.u.